Cd4In3Ga | PBE | relaxed

```
8
Lattice="-3.029 4.774 3.423 3.029 -4.774 3.423 3.029 4.774 -3.423" Properties=species:S:1:pos:R:3 pbc="T T T"
Cd 0.000 2.102 0.000
Cd 1.532 4.774 1.568
Cd 1.498 0.000 4.992
Cd 0.000 7.447 0.000
In 3.029 1.859 0.251
In 0.000 0.000 2.156
In 0.000 2.915 3.675
Ga 3.029 0.000 2.487
```

Summary:
Total moment (μB per cell): 0.0
Energy relative to the elements (eV per formula unit): 0.4
Crystal system: orthorhombic
DFT total energy (eV/f.u.): -14.472
Polymorph energy (0 for the lowest one) (eV per atom): 0.012